# FeSiP3

An optimized crystal structure of FeSiP3 (PBE, Alexandria via LeMat-Bulk).

Summary:
Offset from the most stable computed form = 0.0000 eV per atom
ΔE_f (raw) = 0.698 eV per atom
DFT total energy = -5.33 eV/atom

Cell: 4.333 4.333 4.333 Å, 90.00 90.00 90.00°
Fractional positions:
P  0.000  0.500  0.000
P  0.000  0.000  0.500
P  0.500  0.000  0.000
Si  0.500  0.500  0.500
Fe  0.000  0.000  0.000

# Ba2MgIr

An optimized crystal structure of Ba2MgIr (PBE, Alexandria via LeMat-Bulk).

Summary:
DFT total energy = -3.63 eV/atom

Cell: 11.607 11.607 8.604 Å, 47.59 47.59 90.00°
Fractional positions:
Mg  0.500  0.500  0.000
Mg  0.250  0.750  0.500
Ir  0.000  0.000  0.000
Ir  0.750  0.250  0.500
Ba  0.800  0.125  0.250
Ba  0.950  0.625  0.250
Ba  0.375  0.200  0.750
Ba  0.875  0.050  0.750

# Al2HgRh

An optimized crystal structure of Al2HgRh (PBE, Alexandria via LeMat-Bulk).

Summary:
DFT total energy = -4.17 eV/atom

Cell: 3.002 3.001 7.406 Å, 90.00 90.00 90.00°
Fractional positions:
Rh  0.500  0.500  0.750
Hg  0.500  0.500  0.250
Al  0.000  0.000  0.953
Al  0.000  0.000  0.547

# ZnOsSe2

An optimized crystal structure of ZnOsSe2 (PBE, Alexandria via LeMat-Bulk).

Summary:
ΔE_f (raw) = 0.161 eV per atom
DFT total energy = -4.71 eV/atom

Cell: 4.941 4.941 6.573 Å, 69.91 69.91 36.04°
Fractional positions:
Os  0.270  0.270  0.347
Se  0.940  0.940  0.080
Se  0.762  0.762  0.652
Zn  0.528  0.528  0.421

# La7Pr12Y

An optimized crystal structure of La7Pr12Y (PBE, Alexandria via LeMat-Bulk).

Summary:
Offset from the most stable computed form = 0.4736 eV per atom
DFT total energy = -4.37 eV/atom

Cell: 10.002 10.002 10.002 Å, 109.47 109.47 109.47°
Fractional positions:
La  0.500  0.500  0.000
La  0.000  0.500  0.500
La  0.500  0.000  0.500
La  0.500  0.500  0.500
La  0.000  0.000  0.500
La  0.500  0.000  0.000
La  0.000  0.500  0.000
Pr  0.514  0.722  0.791
Pr  0.931  0.722  0.209
Pr  0.486  0.278  0.209
Pr  0.069  0.278  0.791
Pr  0.791  0.069  0.278
Pr  0.791  0.514  0.722
Pr  0.209  0.931  0.722
Pr  0.209  0.486  0.278
Pr  0.722  0.791  0.514
Pr  0.278  0.209  0.486
Pr  0.722  0.209  0.931
Pr  0.278  0.791  0.069
Y  0.000  0.000  0.000

# LaScP

An optimized crystal structure of LaScP (PBE, Alexandria via LeMat-Bulk).

Summary:
Offset from the most stable computed form = 0.2532 eV per atom
DFT total energy = -6.33 eV/atom

Cell: 5.954 5.954 5.954 Å, 144.46 144.46 51.15°
Fractional positions:
La  0.004  0.004  0.000
Sc  0.282  0.282  0.000
P  0.714  0.714  0.000

# SrY2Sc

An optimized crystal structure of SrY2Sc (PBE, Alexandria via LeMat-Bulk).

Summary:
Offset from the most stable computed form = 0.1185 eV per atom
DFT total energy = -5.01 eV/atom

Cell: 6.246 6.246 6.351 Å, 79.66 79.66 33.57°
Fractional positions:
Sc  0.491  0.491  0.517
Sr  0.245  0.245  0.260
Y  0.008  0.008  0.971
Y  0.756  0.756  0.751

# PmPuTlCu

An optimized crystal structure of PmPuTlCu (PBE, Alexandria via LeMat-Bulk).

Summary:
DFT total energy = -6.39 eV/atom

Cell: 5.270 5.270 5.270 Å, 60.00 60.00 60.00°
Last column: magnetic moment on the atom in μB.
Fractional positions:
Tl  0.750  0.750  0.750  0.00
Pm  0.000  0.000  0.000  0.13
Cu  0.250  0.250  0.250  0.02
Pu  0.500  0.500  0.500  5.43